BaVCu2O: relaxed, PBE with a Hubbard U.

Cell lengths 5.1889, 5.1889, 3.8228 Å; angles 90.00, 90.00, 90.00 degrees
Last column: nearest neighbours and their distance in Å.
Space group P4/mmm (No. 123)
Unique sites:
Ba1 0.0000 0.0000 0.0000  8 Cu 3.22
V1 0.5000 0.5000 0.5000  2 O 1.91
Cu1 0.0000 0.5000 0.5000  2 V 2.59
O1 0.5000 0.5000 0.0000  2 V 1.91

Volume   103 Å³/cell
Energy   -23.5 eV per formula unit
Density   5.35 Mg/m³
DOS(E_F)   2.72 states/eV/cell